(1)
Below is an optimized crystal structure of AgHgSe2, with properties calculated at the PBE level.

Cell lengths 5.4968, 12.8310, 2.7550 Å; angles 90.00, 98.33, 90.00 degrees
Space group C2/m (No. 12)
One atom of each set of equivalent atoms:
Ag: 0.0000 0.0000 0.0000 x2
Hg: 0.0000 0.5000 0.0000 x2
Se: 0.2500 0.2500 0.5000 x4

Values from the calculation:
As for the uncorrected formation energy: 0.259 eV per atom.

(2)
Below is an optimized crystal structure of BaMn2Ir, with properties calculated at the PBE level.

Cell lengths 4.2644, 4.3351, 4.4938 Å; angles 90.00, 90.00, 90.00 degrees
Space group Pmmm (No. 47)
One atom of each set of equivalent atoms:
Ba: 0.0000 0.0000 0.0000 x1
Mn: 0.0000 0.5000 0.5000 x1
Mn: 0.5000 0.0000 0.5000 x1
Ir: 0.5000 0.5000 0.0000 x1

Values from the calculation:
The formation energy from the elements is 0.768 eV per atom.

(3)
Below is an optimized crystal structure of ScCrCl, with properties calculated at the PBE level.

Cell lengths 6.1581, 6.1581, 6.1581 Å; angles 90.00, 90.00, 90.00 degrees
Space group F-43m (No. 216)
One atom of each set of equivalent atoms:
Sc: 0.0000 0.0000 0.0000 x4
Cr: 0.0000 0.0000 0.5000 x4
Cl: 0.2500 0.2500 0.7500 x4

Values from the calculation:
As for the uncorrected formation energy: 0.307 eV per atom. As for the energy above the most stable polymorph in this dataset: 0.6493 eV per atom.

no.,M_tot (μB per cell),energy (eV/cell)
1,0.000,-18.17
2,8.472,-26.05
3,13.932,-67.52